Entry 1:
Below is a geometry-optimized MnCoCu3 structure, with properties calculated at the GGA-PBE level.

Output
Its crystal system is cubic. The calculation puts the offset from the most stable computed form at 0 meV per atom. Its total magnetization is 6.0 μB per formula unit. The calculation puts the calculated total energy at -4.715 eV per atom. As for the calculated formation energy: 0.998 eV/atom.

extended XYZ file:
```
5
Lattice="4.369 0.000 0.000 0.000 4.369 0.000 0.000 0.000 4.369" Properties=species:S:1:pos:R:3 pbc="T T T"
Mn 0.000 0.000 0.000
Co 2.184 2.184 2.184
Cu 0.000 2.184 2.184
Cu 2.184 0.000 2.184
Cu 2.184 2.184 0.000
```



Entry 2:
Below is a geometry-optimized Hf4VZn3 structure, with properties calculated at the GGA-PBE level.

Output
Its crystal system is tetragonal. Its total magnetization is 1.2 μB per formula unit. The calculation puts the calculated total energy at -6.723 eV per atom. As for the calculated formation energy: -0.128 eV/atom.

extended XYZ file:
```
8
Lattice="3.305 0.000 0.000 0.000 3.305 0.000 0.000 0.000 13.257" Properties=species:S:1:pos:R:3 pbc="T T T"
Hf 0.000 0.000 1.607
Hf 0.000 0.000 4.967
Hf 0.000 0.000 8.291
Hf 0.000 0.000 11.650
V 1.653 1.653 0.000
Zn 1.653 1.653 3.312
Zn 1.653 1.653 6.629
Zn 1.653 1.653 9.945
```



Entry 3:
Below is a geometry-optimized InReAs structure, with properties calculated at the GGA-PBE level.

Output
Its crystal system is tetragonal. The calculation puts the offset from the most stable computed form at 69 meV per atom. Its total magnetization is 0.0 μB per formula unit. The calculation puts the calculated total energy at -6.330 eV per atom. As for the calculated formation energy: 0.282 eV/atom.

extended XYZ file:
```
6
Lattice="3.222 0.000 0.000 0.000 3.222 0.000 0.000 0.000 10.564" Properties=species:S:1:pos:R:3 pbc="T T T"
In 0.000 0.000 0.000
In 1.611 1.611 5.282
Re 0.000 0.000 7.189
Re 1.611 1.611 1.907
As 0.000 0.000 3.085
As 1.611 1.611 8.368
```



Entry 4:
Below is a geometry-optimized Ca3PmY3S8 structure, with properties calculated at the GGA-PBE level.

Output
Its crystal system is trigonal. Its total magnetization is 0.0 μB per formula unit. The calculation puts the calculated total energy at -6.287 eV per atom. The uncorrected formation energy is -2075.7 meV/atom.

extended XYZ file:
```
15
Lattice="3.960 2.286 6.560 -3.960 2.286 6.560 0.000 -4.572 6.560" Properties=species:S:1:pos:R:3 pbc="T T T"
Ca -1.980 -1.143 6.560
Ca -1.980 1.143 13.119
Ca 0.000 2.286 6.560
Pm 0.000 0.000 9.839
Y -3.960 0.000 9.839
Y -1.980 1.143 3.280
Y 1.980 1.143 3.280
S -2.005 -1.158 11.433
S 0.000 0.000 4.883
S 0.000 -2.315 8.245
S -2.005 1.158 8.245
S 2.005 -1.158 11.433
S 0.000 2.315 11.433
S 0.000 0.000 14.796
S 2.005 1.158 8.245
```



Entry 5:
Below is a geometry-optimized TmTl2 structure, with properties calculated at the GGA-PBE level.

Output
Its crystal system is monoclinic. Its total magnetization is 0.3 μB per formula unit. The calculation puts the calculated total energy at -3.154 eV per atom. As for the calculated formation energy: -0.086 eV/atom.

extended XYZ file:
```
6
Lattice="4.951 0.000 0.000 0.000 5.464 0.000 -2.460 0.000 6.124" Properties=species:S:1:pos:R:3 pbc="T T T"
Tm 0.000 0.000 0.000
Tm 2.476 2.732 0.000
Tl 0.005 2.732 2.040
Tl 0.010 0.000 4.084
Tl 2.481 0.000 2.040
Tl 2.486 2.732 4.084
```



Entry 6:
Below is a geometry-optimized Re2PSe structure, with properties calculated at the GGA-PBE level.

Output
Its crystal system is monoclinic. The calculation puts the offset from the most stable computed form at 483 meV per atom. Its total magnetization is 0.0 μB per formula unit. The calculation puts the calculated total energy at -7.935 eV per atom. The uncorrected formation energy is 512.6 meV/atom.

extended XYZ file:
```
4
Lattice="3.030 0.000 0.000 0.000 3.620 0.000 -1.512 0.000 5.647" Properties=species:S:1:pos:R:3 pbc="T T T"
Re 0.006 0.000 1.606
Re 1.512 0.000 4.041
P -0.756 1.810 2.823
Se 1.515 1.810 0.000
```



Entry 7:
Below is a geometry-optimized Sm2ThC3 structure, with properties calculated at the GGA-PBE level.

Output
Its crystal system is orthorhombic. Its total magnetization is 0.0 μB per formula unit. The calculation puts the calculated total energy at -7.426 eV per atom. As for the calculated formation energy: -0.005 eV/atom.

extended XYZ file:
```
12
Lattice="-2.938 5.212 3.955 2.938 -5.212 3.955 2.938 5.212 -3.955" Properties=species:S:1:pos:R:3 pbc="T T T"
Sm 0.000 0.733 1.305
Sm 2.938 0.733 2.650
Sm 0.000 4.479 1.305
Sm 2.938 4.479 2.650
Th 2.938 2.606 -0.101
Th 0.000 2.606 4.056
C 2.248 0.000 0.000
C 3.628 0.000 0.000
C -1.469 2.606 1.978
C 2.248 5.212 0.000
C 1.469 2.606 1.978
C 0.690 0.000 3.955
```



Entry 8:
Below is a geometry-optimized LiInAg6 structure, with properties calculated at the GGA-PBE level.

Output
Its crystal system is tetragonal. The calculation puts the offset from the most stable computed form at 17 meV per atom. Its total magnetization is 0.0 μB per formula unit. The calculation puts the calculated total energy at -2.804 eV per atom. As for the calculated formation energy: -0.084 eV/atom.

extended XYZ file:
```
8
Lattice="5.811 0.000 0.000 0.000 5.811 0.000 0.000 0.000 4.269" Properties=species:S:1:pos:R:3 pbc="T T T"
Li 0.000 0.000 0.000
In 2.906 2.906 0.000
Ag 0.000 2.906 0.000
Ag 1.420 1.420 2.135
Ag 1.420 4.391 2.135
Ag 2.906 0.000 0.000
Ag 4.391 1.420 2.135
Ag 4.391 4.391 2.135
```



Entry 9:
Below is a geometry-optimized LaSi2P structure, with properties calculated at the GGA-PBE level.

Output
Its crystal system is tetragonal. Its total magnetization is 0.0 μB per formula unit. The calculation puts the calculated total energy at -5.565 eV per atom. The uncorrected formation energy is -269.3 meV/atom.

extended XYZ file:
```
4
Lattice="4.169 0.000 0.000 0.000 4.169 0.000 0.000 0.000 4.527" Properties=species:S:1:pos:R:3 pbc="T T T"
La 0.000 0.000 0.000
Si 0.000 2.085 2.264
Si 2.085 0.000 2.264
P 2.085 2.085 0.000
```



Entry 10:
Below is a geometry-optimized PrCS structure, with properties calculated at the GGA-PBE level.

Output
Its crystal system is orthorhombic. The calculation puts the offset from the most stable computed form at 659 meV per atom. Its total magnetization is 0.0 μB per formula unit. The calculation puts the calculated total energy at -6.352 eV per atom. The uncorrected formation energy is -308.4 meV/atom.

extended XYZ file:
```
12
Lattice="3.880 0.000 0.000 0.000 14.313 0.000 0.000 0.000 4.013" Properties=species:S:1:pos:R:3 pbc="T T T"
Pr 0.000 1.443 1.003
Pr 0.000 12.870 3.010
Pr 1.940 5.714 3.010
Pr 1.940 8.599 1.003
C 0.000 6.873 1.003
C 0.000 7.440 3.010
C 1.940 0.283 3.010
C 1.940 14.029 1.003
S 0.000 4.986 1.003
S 0.000 9.327 3.010
S 1.940 2.171 3.010
S 1.940 12.142 1.003
```



Entry 11:
Below is a geometry-optimized RbSr2I5 structure, with properties calculated at the GGA-PBE level.

Output
Its crystal system is orthorhombic. The calculation puts the offset from the most stable computed form at 24 meV per atom. Its total magnetization is 0.0 μB per formula unit. The calculation puts the calculated total energy at -3.131 eV per atom. The uncorrected formation energy is -1621.0 meV/atom.

extended XYZ file:
```
16
Lattice="5.018 0.000 0.000 0.000 8.377 0.000 0.000 0.000 17.448" Properties=species:S:1:pos:R:3 pbc="T T T"
Rb 0.000 0.000 0.000
Rb 2.509 4.188 8.724
Sr 0.000 4.188 3.256
Sr 0.000 4.188 14.193
Sr 2.509 0.000 5.469
Sr 2.509 0.000 11.980
I 0.000 2.205 6.042
I 0.000 2.205 11.407
I 0.000 4.188 0.000
I 0.000 6.172 6.042
I 0.000 6.172 11.407
I 2.509 0.000 8.724
I 2.509 1.983 2.682
I 2.509 1.983 14.766
I 2.509 6.393 2.682
I 2.509 6.393 14.766
```



Entry 12:
Below is a geometry-optimized Ca2CrN3 structure, with properties calculated at the GGA-PBE level.

Output
Its crystal system is orthorhombic. The calculation puts the offset from the most stable computed form at 461 meV per atom. Its total magnetization is 0.1 μB per formula unit. The calculation puts the calculated total energy at -6.934 eV per atom. The uncorrected formation energy is -500.2 meV/atom.

extended XYZ file:
```
12
Lattice="5.015 0.000 0.000 0.000 4.024 5.245 0.000 -4.024 5.245" Properties=species:S:1:pos:R:3 pbc="T T T"
Ca 0.000 0.000 0.000
Ca 0.000 -1.647 3.016
Ca 0.000 1.647 3.016
Ca 2.508 0.000 8.152
Cr 0.000 0.000 6.189
Cr 2.508 0.000 1.790
N 0.000 -1.491 5.396
N 0.000 1.491 5.396
N 0.000 0.000 8.003
N 2.508 0.000 0.078
N 2.508 -1.504 2.614
N 2.508 1.504 2.614
```